# CdReAs2C PBE optimized geometry
# - E_form: 3059 meV/atom
# - Magnetization: 2.4 μB per formula unit
# - E: -16.59 eV/f.u.
data_CdReAs2C
_space_group_name_H-M_alt 'P 4/m m m'
_space_group_IT_number 123
_space_group_name_Hall '-P 4 2'
_cell_length_a 5.028
_cell_length_b 5.028
_cell_length_c 5.291
_cell_angle_alpha 90.00
_cell_angle_beta 90.00
_cell_angle_gamma 90.00
loop_
_atom_site_label
_atom_site_type_symbol
_atom_site_fract_x
_atom_site_fract_y
_atom_site_fract_z
_atom_site_occupancy
Cd1 Cd 0.000 0.000 0.000 1
Re1 Re 0.000 0.000 0.500 1
As1 As 0.000 0.500 0.000 1
C1 C 0.500 0.500 0.500 1


# CdAsRhC2 PBE optimized geometry
# - E_form: 2219 meV/atom
# - Magnetization: 0.0 μB per formula unit
# - E: -20.27 eV/f.u.
data_CdAsRhC2
_space_group_name_H-M_alt 'P 4/m m m'
_space_group_IT_number 123
_space_group_name_Hall '-P 4 2'
_cell_length_a 3.926
_cell_length_b 3.926
_cell_length_c 5.257
_cell_angle_alpha 90.00
_cell_angle_beta 90.00
_cell_angle_gamma 90.00
loop_
_atom_site_label
_atom_site_type_symbol
_atom_site_fract_x
_atom_site_fract_y
_atom_site_fract_z
_atom_site_occupancy
Cd1 Cd 0.000 0.000 0.000 1
As1 As 0.000 0.000 0.500 1
Rh1 Rh 0.500 0.500 0.000 1
C1 C 0.000 0.500 0.500 1


# CdAsCSe2 PBE optimized geometry
# - Magnetization: 0.0 μB per formula unit
# - E: -16.84 eV/f.u.
# - Distance to the lowest polymorph of the same formula: 0 meV/atom
data_CdAsCSe2
_space_group_name_H-M_alt 'P 4/m m m'
_space_group_IT_number 123
_space_group_name_Hall '-P 4 2'
_cell_length_a 4.745
_cell_length_b 4.745
_cell_length_c 4.170
_cell_angle_alpha 90.00
_cell_angle_beta 90.00
_cell_angle_gamma 90.00
loop_
_atom_site_label
_atom_site_type_symbol
_atom_site_fract_x
_atom_site_fract_y
_atom_site_fract_z
_atom_site_occupancy
Cd1 Cd 0.000 0.000 0.000 1
As1 As 0.500 0.500 0.000 1
C1 C 0.500 0.500 0.500 1
Se1 Se 0.000 0.500 0.500 1


# CdAsCSe2 PBE optimized geometry
# - Magnetization: 0.1 μB per formula unit
# - E: -11.34 eV/f.u.
# - Distance to the lowest polymorph of the same formula: 1101 meV/atom
data_CdAsCSe2
_space_group_name_H-M_alt 'P 4/m m m'
_space_group_IT_number 123
_space_group_name_Hall '-P 4 2'
_cell_length_a 5.239
_cell_length_b 5.239
_cell_length_c 5.215
_cell_angle_alpha 90.00
_cell_angle_beta 90.00
_cell_angle_gamma 90.00
loop_
_atom_site_label
_atom_site_type_symbol
_atom_site_fract_x
_atom_site_fract_y
_atom_site_fract_z
_atom_site_occupancy
Cd1 Cd 0.000 0.000 0.000 1
As1 As 0.000 0.000 0.500 1
C1 C 0.500 0.500 0.500 1
Se1 Se 0.000 0.500 0.000 1


# Ti2CdAsC PBE optimized geometry
# - E_form: 2403 meV/atom
# - Magnetization: 0.0 μB per formula unit
# - E: -18.56 eV/f.u.
data_Ti2CdAsC
_space_group_name_H-M_alt 'P 4/m m m'
_space_group_IT_number 123
_space_group_name_Hall '-P 4 2'
_cell_length_a 5.063
_cell_length_b 5.063
_cell_length_c 4.778
_cell_angle_alpha 90.00
_cell_angle_beta 90.00
_cell_angle_gamma 90.00
loop_
_atom_site_label
_atom_site_type_symbol
_atom_site_fract_x
_atom_site_fract_y
_atom_site_fract_z
_atom_site_occupancy
Ti1 Ti 0.000 0.500 0.000 1
Cd1 Cd 0.000 0.000 0.000 1
As1 As 0.000 0.000 0.500 1
C1 C 0.500 0.500 0.500 1


# CdAs2WC PBE optimized geometry
# - E_form: 1740 meV/atom
# - Magnetization: 2.2 μB per formula unit
# - E: -23.69 eV/f.u.
data_CdAs2WC
_space_group_name_H-M_alt 'P 4/m m m'
_space_group_IT_number 123
_space_group_name_Hall '-P 4 2'
_cell_length_a 4.796
_cell_length_b 4.796
_cell_length_c 5.494
_cell_angle_alpha 90.00
_cell_angle_beta 90.00
_cell_angle_gamma 90.00
loop_
_atom_site_label
_atom_site_type_symbol
_atom_site_fract_x
_atom_site_fract_y
_atom_site_fract_z
_atom_site_occupancy
Cd1 Cd 0.000 0.000 0.000 1
As1 As 0.000 0.500 0.500 1
W1 W 0.000 0.000 0.500 1
C1 C 0.500 0.500 0.000 1